Record 1
## Pr2Ti3Cl2O8 (SCAN)

Data for a PBEsol-optimized structure of Pr2Ti3Cl2O8.

```
data_Pr2Ti3Cl2O8
_chemical_formula_sum 'Pr8 Ti12 Cl8 O32'
_symmetry_space_group_name_H-M 'P 1'
_symmetry_Int_Tables_number 1
_cell_length_a 5.030
_cell_length_b 11.577
_cell_length_c 14.684
_cell_angle_alpha 90.00
_cell_angle_beta 90.00
_cell_angle_gamma 90.00
loop_
_symmetry_equiv_pos_as_xyz
'x,y,z'
loop_
_atom_site_label
_atom_site_type_symbol
_atom_site_fract_x
_atom_site_fract_y
_atom_site_fract_z
O1 O 0.426 0.818 0.582
O2 O 0.251 0.702 0.779
O3 O 0.251 0.202 0.721
O4 O 0.669 0.530 0.239
O5 O 0.937 0.955 0.577
O6 O 0.831 0.030 0.739
O7 O 0.249 0.702 0.221
O8 O 0.331 0.470 0.761
O9 O 0.926 0.682 0.918
O10 O 0.751 0.798 0.721
O11 O 0.669 0.030 0.261
O12 O 0.574 0.682 0.082
O13 O 0.749 0.298 0.221
O14 O 0.926 0.182 0.582
O15 O 0.169 0.970 0.261
O16 O 0.426 0.318 0.918
O17 O 0.831 0.530 0.761
O18 O 0.063 0.545 0.077
O19 O 0.574 0.182 0.418
O20 O 0.751 0.298 0.779
O21 O 0.169 0.470 0.239
O22 O 0.074 0.318 0.082
O23 O 0.563 0.455 0.077
O24 O 0.331 0.970 0.739
O25 O 0.437 0.045 0.577
O26 O 0.563 0.955 0.423
O27 O 0.074 0.818 0.418
O28 O 0.749 0.798 0.279
O29 O 0.249 0.202 0.279
O30 O 0.437 0.545 0.923
O31 O 0.937 0.455 0.923
O32 O 0.063 0.045 0.423
Cl1 Cl 0.518 0.897 0.926
Cl2 Cl 0.982 0.897 0.074
Cl3 Cl 0.018 0.103 0.926
Cl4 Cl 0.482 0.603 0.426
Cl5 Cl 0.018 0.603 0.574
Cl6 Cl 0.982 0.397 0.426
Cl7 Cl 0.518 0.397 0.574
Cl8 Cl 0.482 0.103 0.074
Ti1 Ti 0.750 0.091 0.500
Ti2 Ti 0.871 0.422 0.163
Ti3 Ti 0.129 0.078 0.663
Ti4 Ti 0.750 0.591 0.000
Ti5 Ti 0.371 0.078 0.337
Ti6 Ti 0.871 0.922 0.337
Ti7 Ti 0.129 0.578 0.837
Ti8 Ti 0.371 0.578 0.163
Ti9 Ti 0.629 0.422 0.837
Ti10 Ti 0.250 0.909 0.500
Ti11 Ti 0.629 0.922 0.663
Ti12 Ti 0.250 0.409 0.000
Pr1 Pr 0.977 0.136 0.161
Pr2 Pr 0.477 0.364 0.339
Pr3 Pr 0.523 0.136 0.839
Pr4 Pr 0.477 0.864 0.161
Pr5 Pr 0.023 0.864 0.839
Pr6 Pr 0.977 0.636 0.339
Pr7 Pr 0.523 0.636 0.661
Pr8 Pr 0.023 0.364 0.661
```

Energy relative to the elements, uncorrected (meV per atom): -3355.6
SG: No. 60
Total energy (hartree per atom): -0.6146
Density of states at the Fermi level (states/eV per atom): 0.0000
Total magnetization (μB/cell): 0.000


Record 2
## ReOs (SCAN)

Data for a PBEsol-optimized structure of ReOs.

```
data_ReOs
_chemical_formula_sum 'Re2 Os2'
_symmetry_space_group_name_H-M 'P 1'
_symmetry_Int_Tables_number 1
_cell_length_a 2.744
_cell_length_b 2.744
_cell_length_c 8.726
_cell_angle_alpha 90.00
_cell_angle_beta 90.00
_cell_angle_gamma 120.00
loop_
_symmetry_equiv_pos_as_xyz
'x,y,z'
loop_
_atom_site_label
_atom_site_type_symbol
_atom_site_fract_x
_atom_site_fract_y
_atom_site_fract_z
Os1 Os 0.667 0.333 0.124
Os2 Os 0.333 0.667 0.876
Re1 Re 0.667 0.333 0.628
Re2 Re 0.333 0.667 0.372
```

SG: No. 164
Total energy (hartree per atom): -2.6292
Density of states at the Fermi level (states/eV per atom): 0.7135
Total magnetization (μB/cell): 0.000
Polymorph energy (0 for the lowest one) (meV per atom): 58.1
ΔH_f (0 K) (eV per atom): -0.06


Record 3
## CoRh3Pb (SCAN)

Data for a PBEsol-optimized structure of CoRh3Pb.

```
data_CoRh3Pb
_chemical_formula_sum 'Co1 Rh3 Pb1'
_symmetry_space_group_name_H-M 'P 1'
_symmetry_Int_Tables_number 1
_cell_length_a 4.436
_cell_length_b 4.436
_cell_length_c 4.436
_cell_angle_alpha 90.00
_cell_angle_beta 90.00
_cell_angle_gamma 90.00
loop_
_symmetry_equiv_pos_as_xyz
'x,y,z'
loop_
_atom_site_label
_atom_site_type_symbol
_atom_site_fract_x
_atom_site_fract_y
_atom_site_fract_z
Rh1 Rh 0.000 0.000 0.500
Rh2 Rh 0.000 0.500 0.000
Rh3 Rh 0.500 0.000 0.000
Co1 Co 0.000 0.000 0.000
Pb1 Pb 0.500 0.500 0.500
```

SG: No. 221
Total energy (hartree per atom): -1.4001
Density of states at the Fermi level (states/eV per atom): 0.8561
Total magnetization (μB/cell): 3.264
ΔH_f (0 K) (eV per atom): 0.78


Record 4
## MnNiCl2 (SCAN)

Data for a PBEsol-optimized structure of MnNiCl2.

```
data_MnNiCl2
_chemical_formula_sum 'Mn1 Ni1 Cl2'
_symmetry_space_group_name_H-M 'P 1'
_symmetry_Int_Tables_number 1
_cell_length_a 3.077
_cell_length_b 3.077
_cell_length_c 6.152
_cell_angle_alpha 90.00
_cell_angle_beta 90.00
_cell_angle_gamma 90.00
loop_
_symmetry_equiv_pos_as_xyz
'x,y,z'
loop_
_atom_site_label
_atom_site_type_symbol
_atom_site_fract_x
_atom_site_fract_y
_atom_site_fract_z
Mn1 Mn 0.500 0.500 0.000
Ni1 Ni 0.500 0.500 0.500
Cl1 Cl 0.000 0.000 0.751
Cl2 Cl 0.000 0.000 0.249
```

Energy relative to the elements, uncorrected (meV per atom): -88.6
SG: No. 123
Total energy (hartree per atom): -0.4662
Density of states at the Fermi level (states/eV per atom): 0.2629
Total magnetization (μB/cell): 5.006
Polymorph energy (0 for the lowest one) (meV per atom): 451.4


Record 5
## TiBiI2 (SCAN)

Data for a PBEsol-optimized structure of TiBiI2.

```
data_TiBiI2
_chemical_formula_sum 'Ti2 Bi2 I4'
_symmetry_space_group_name_H-M 'P 1'
_symmetry_Int_Tables_number 1
_cell_length_a 5.515
_cell_length_b 7.447
_cell_length_c 7.447
_cell_angle_alpha 82.12
_cell_angle_beta 68.27
_cell_angle_gamma 68.27
loop_
_symmetry_equiv_pos_as_xyz
'x,y,z'
loop_
_atom_site_label
_atom_site_type_symbol
_atom_site_fract_x
_atom_site_fract_y
_atom_site_fract_z
Bi1 Bi 0.750 0.500 0.500
Bi2 Bi 0.000 0.000 0.000
Ti1 Ti 0.500 0.000 0.000
Ti2 Ti 0.250 0.500 0.500
I1 I 0.263 0.862 0.362
I2 I 0.487 0.138 0.638
I3 I 0.875 0.638 0.862
I4 I 0.375 0.362 0.138
```

Energy relative to the elements, uncorrected (meV per atom): -104.8
SG: No. 122
Total energy (hartree per atom): -1.5482
Density of states at the Fermi level (states/eV per atom): 1.1296
Total magnetization (μB/cell): 2.424


Record 6
## Tc2C (SCAN)

Data for a PBEsol-optimized structure of Tc2C.

```
data_Tc2C
_chemical_formula_sum 'Tc4 C2'
_symmetry_space_group_name_H-M 'P 1'
_symmetry_Int_Tables_number 1
_cell_length_a 2.764
_cell_length_b 4.941
_cell_length_c 4.983
_cell_angle_alpha 90.00
_cell_angle_beta 90.00
_cell_angle_gamma 106.24
loop_
_symmetry_equiv_pos_as_xyz
'x,y,z'
loop_
_atom_site_label
_atom_site_type_symbol
_atom_site_fract_x
_atom_site_fract_y
_atom_site_fract_z
C1 C 0.885 0.771 0.424
C2 C 0.115 0.229 0.924
Tc1 Tc 0.531 0.063 0.212
Tc2 Tc 0.786 0.572 0.030
Tc3 Tc 0.469 0.937 0.712
Tc4 Tc 0.214 0.428 0.530
```

SG: No. 36
Total energy (hartree per atom): -0.9770
Density of states at the Fermi level (states/eV per atom): 0.4818
Total magnetization (μB/cell): 0.000
Polymorph energy (0 for the lowest one) (meV per atom): 122.7
ΔH_f (0 K) (eV per atom): 0.15


Record 7
## Sr5P3ClO12 (SCAN)

Data for a PBEsol-optimized structure of Sr5P3ClO12.

```
data_Sr5P3ClO12
_chemical_formula_sum 'Sr10 P6 Cl2 O24'
_symmetry_space_group_name_H-M 'P 1'
_symmetry_Int_Tables_number 1
_cell_length_a 7.162
_cell_length_b 9.854
_cell_length_c 9.854
_cell_angle_alpha 120.00
_cell_angle_beta 90.00
_cell_angle_gamma 90.00
loop_
_symmetry_equiv_pos_as_xyz
'x,y,z'
loop_
_atom_site_label
_atom_site_type_symbol
_atom_site_fract_x
_atom_site_fract_y
_atom_site_fract_z
O1 O 0.925 0.090 0.735
O2 O 0.750 0.411 0.879
O3 O 0.750 0.468 0.589
O4 O 0.250 0.146 0.481
O5 O 0.750 0.481 0.335
O6 O 0.075 0.355 0.090
O7 O 0.075 0.910 0.265
O8 O 0.750 0.854 0.519
O9 O 0.425 0.355 0.090
O10 O 0.575 0.645 0.910
O11 O 0.250 0.532 0.411
O12 O 0.425 0.735 0.645
O13 O 0.075 0.735 0.645
O14 O 0.250 0.519 0.665
O15 O 0.750 0.121 0.532
O16 O 0.250 0.335 0.854
O17 O 0.250 0.879 0.468
O18 O 0.250 0.589 0.121
O19 O 0.575 0.090 0.735
O20 O 0.575 0.265 0.355
O21 O 0.925 0.265 0.355
O22 O 0.750 0.665 0.146
O23 O 0.425 0.910 0.265
O24 O 0.925 0.645 0.910
P1 P 0.750 0.594 0.965
P2 P 0.250 0.629 0.594
P3 P 0.250 0.406 0.035
P4 P 0.250 0.965 0.371
P5 P 0.750 0.371 0.406
P6 P 0.750 0.035 0.629
Sr1 Sr 0.250 0.008 0.751
Sr2 Sr 0.250 0.249 0.256
Sr3 Sr 0.750 0.751 0.744
Sr4 Sr 0.501 0.667 0.333
Sr5 Sr 0.750 0.992 0.249
Sr6 Sr 0.499 0.333 0.667
Sr7 Sr 0.001 0.333 0.667
Sr8 Sr 0.250 0.744 0.992
Sr9 Sr 0.999 0.667 0.333
Sr10 Sr 0.750 0.256 0.008
Cl1 Cl 0.000 0.000 0.000
Cl2 Cl 0.500 0.000 0.000
```

Energy relative to the elements, uncorrected (meV per atom): -3212.4
SG: No. 176
Total energy (hartree per atom): -0.5124
Density of states at the Fermi level (states/eV per atom): 0.0000
Total magnetization (μB/cell): 0.000


Record 8
## HfZr2Ir (SCAN)

Data for a PBEsol-optimized structure of HfZr2Ir.

```
data_HfZr2Ir
_chemical_formula_sum 'Hf1 Zr2 Ir1'
_symmetry_space_group_name_H-M 'P 1'
_symmetry_Int_Tables_number 1
_cell_length_a 4.722
_cell_length_b 4.722
_cell_length_c 4.722
_cell_angle_alpha 60.00
_cell_angle_beta 60.00
_cell_angle_gamma 60.00
loop_
_symmetry_equiv_pos_as_xyz
'x,y,z'
loop_
_atom_site_label
_atom_site_type_symbol
_atom_site_fract_x
_atom_site_fract_y
_atom_site_fract_z
Hf1 Hf 0.000 0.000 0.000
Zr1 Zr 0.250 0.250 0.250
Zr2 Zr 0.750 0.750 0.750
Ir1 Ir 0.500 0.500 0.500
```

SG: No. 225
Total energy (hartree per atom): -1.8087
Density of states at the Fermi level (states/eV per atom): 1.1103
Total magnetization (μB/cell): 0.000
ΔH_f (0 K) (eV per atom): -0.43